(1)
# SrYRh2 | Alexandria | GGA-PBE | optimized geometry
data_SrYRh2
_space_group_name_H-M_alt 'P 1'
_space_group_IT_number 1
_space_group_name_Hall 'P 1'
_cell_length_a 5.928
_cell_length_b 5.928
_cell_length_c 5.928
_cell_angle_alpha 139.34
_cell_angle_beta 139.34
_cell_angle_gamma 58.86
loop_
_atom_site_label
_atom_site_type_symbol
_atom_site_fract_x
_atom_site_fract_y
_atom_site_fract_z
_atom_site_occupancy
Rh1 Rh 0.000 0.000 0.000 1
Rh2 Rh 0.250 0.750 0.500 1
Sr1 Sr 0.500 0.500 0.000 1
Y1 Y 0.750 0.250 0.500 1
# Calculated formation energy (meV/atom): -185
# DOS(E_F) (states/eV/f.u.): 4.52
# Total moment (μB per formula unit): 0.0

(2)
# Tb3GaCu2 | Alexandria | GGA-PBE | optimized geometry
data_Tb3GaCu2
_space_group_name_H-M_alt 'P 1'
_space_group_IT_number 1
_space_group_name_Hall 'P 1'
_cell_length_a 4.987
_cell_length_b 4.987
_cell_length_c 12.230
_cell_angle_alpha 90.00
_cell_angle_beta 90.00
_cell_angle_gamma 120.00
loop_
_atom_site_label
_atom_site_type_symbol
_atom_site_fract_x
_atom_site_fract_y
_atom_site_fract_z
_atom_site_occupancy
Tb1 Tb 0.333 0.667 0.416 1
Tb2 Tb 0.667 0.333 0.584 1
Tb3 Tb 0.000 0.000 0.244 1
Tb4 Tb 0.333 0.667 0.922 1
Tb5 Tb 0.000 0.000 0.756 1
Tb6 Tb 0.667 0.333 0.078 1
Cu1 Cu 0.667 0.333 0.832 1
Cu2 Cu 0.000 0.000 0.000 1
Cu3 Cu 0.333 0.667 0.168 1
Cu4 Cu 0.000 0.000 0.500 1
Ga1 Ga 0.333 0.667 0.669 1
Ga2 Ga 0.667 0.333 0.331 1
# Calculated formation energy (meV/atom): -350
# DOS(E_F) (states/eV/f.u.): 4.01
# Total moment (μB per formula unit): 0.0

(3)
# Tb2DyThS4 | Alexandria | GGA-PBE | optimized geometry
data_Tb2DyThS4
_space_group_name_H-M_alt 'P 1'
_space_group_IT_number 1
_space_group_name_Hall 'P 1'
_cell_length_a 3.926
_cell_length_b 6.852
_cell_length_c 6.874
_cell_angle_alpha 70.81
_cell_angle_beta 90.00
_cell_angle_gamma 90.00
loop_
_atom_site_label
_atom_site_type_symbol
_atom_site_fract_x
_atom_site_fract_y
_atom_site_fract_z
_atom_site_occupancy
S1 S 0.000 0.757 0.741 1
S2 S 0.500 0.248 0.745 1
S3 S 0.000 0.243 0.259 1
S4 S 0.500 0.752 0.255 1
Tb1 Tb 0.500 0.000 0.500 1
Tb2 Tb 0.000 0.000 0.000 1
Th1 Th 0.500 0.500 0.000 1
Dy1 Dy 0.000 0.500 0.500 1
# Raw formation energy (eV per atom): -1.949
# DOS(E_F) (states/eV/f.u.): 3.27
# Total moment (μB per formula unit): 0.0

(4)
# CaMgAu | Alexandria | GGA-PBE | optimized geometry
data_CaMgAu
_space_group_name_H-M_alt 'P 1'
_space_group_IT_number 1
_space_group_name_Hall 'P 1'
_cell_length_a 4.975
_cell_length_b 4.975
_cell_length_c 4.975
_cell_angle_alpha 60.00
_cell_angle_beta 60.00
_cell_angle_gamma 60.00
loop_
_atom_site_label
_atom_site_type_symbol
_atom_site_fract_x
_atom_site_fract_y
_atom_site_fract_z
_atom_site_occupancy
Ca1 Ca 0.750 0.750 0.750 1
Mg1 Mg 0.000 0.000 0.000 1
Au1 Au 0.500 0.500 0.500 1
# Calculated formation energy (meV/atom): -38
# DOS(E_F) (states/eV/f.u.): 2.61
# Total moment (μB per formula unit): 0.0